## MnMo2Pb (PBE-GGA)

Data for a relaxed structure of MnMo2Pb.

The structure in POSCAR format:
```
MnMo2Pb
1.0
3.7919 0.0000 0.0000
0.0000 3.7919 0.0000
1.8959 1.8959 9.8273
Mo Pb Mn
4 2 2
Direct
0.1388 0.6250 0.2500 Mo
0.3750 0.3888 0.7500 Mo
0.6112 0.1250 0.2500 Mo
0.8750 0.8612 0.7500 Mo
0.7500 0.2500 0.5000 Pb
0.0000 0.0000 0.0000 Pb
0.2500 0.7500 0.5000 Mn
0.5000 0.5000 0.0000 Mn
```

Calculated values
* total energy: -30.28 eV/f.u.

## MnMo2Pb2 (PBE-GGA)

Data for a relaxed structure of MnMo2Pb2.

The structure in POSCAR format:
```
MnMo2Pb2
1.0
7.8315 0.0000 0.0000
0.0000 7.8315 0.0000
0.0000 0.0000 3.2875
Mo Pb Mn
4 4 2
Direct
0.1105 0.6105 0.5000 Mo
0.6105 0.8895 0.5000 Mo
0.3895 0.1105 0.5000 Mo
0.8895 0.3895 0.5000 Mo
0.6825 0.1825 0.0000 Pb
0.1825 0.3175 0.0000 Pb
0.8175 0.6825 0.0000 Pb
0.3175 0.8175 0.0000 Pb
0.0000 0.0000 0.0000 Mn
0.5000 0.5000 0.0000 Mn
```

Calculated values
* energy relative to the lowest polymorph listed for this composition: 438.5 meV per atom

## MnMo2Pb (PBE-GGA)

Data for a relaxed structure of MnMo2Pb.

The structure in POSCAR format:
```
MnMo2Pb
1.0
-1.8034 -1.5841 2.3694
-0.5627 -2.5509 -2.1336
5.0893 -2.7980 2.0030
Pb Mo Mn
1 2 1
Direct
0.0000 0.0000 0.5091 Pb
0.5000 0.5000 0.2125 Mo
0.0000 0.0000 0.9996 Mo
0.5000 0.5000 0.7788 Mn
```

Calculated values
* total energy: -32.88 eV/f.u.

## Mn2MoPb (PBE-GGA)

Data for a relaxed structure of Mn2MoPb.

The structure in POSCAR format:
```
Mn2MoPb
1.0
3.3208 0.0000 0.0000
0.0000 3.3206 0.0000
0.0000 0.0000 5.9648
Pb Mo Mn
1 1 2
Direct
0.5000 0.5000 0.7500 Pb
0.5000 0.5000 0.2500 Mo
0.0000 0.0000 0.4579 Mn
0.0000 0.0000 0.0421 Mn
```

Calculated values
* total energy: -31.36 eV/f.u.

## MnMo2Pb (PBE-GGA)

Data for a relaxed structure of MnMo2Pb.

The structure in POSCAR format:
```
MnMo2Pb
1.0
4.9380 -0.0694 0.0000
1.5404 4.6921 0.0000
-3.2392 -2.3113 2.9247
Mo Mn Pb
2 1 1
Direct
0.0000 0.0000 0.0000 Mo
0.2500 0.7500 0.5000 Mo
0.7500 0.2500 0.5000 Mn
0.5000 0.5000 0.0000 Pb
```

Calculated values
* total energy: -32.40 eV/f.u.

## Mn2MoPb (PBE-GGA)

Data for a relaxed structure of Mn2MoPb.

The structure in POSCAR format:
```
Mn2MoPb
1.0
9.0500 0.1272 0.0751
8.4840 3.1528 0.0751
8.4840 1.5871 2.7253
Mo Pb Mn
1 1 2
Direct
0.2500 0.2500 0.2500 Mo
0.7500 0.7500 0.7500 Pb
0.9887 0.9887 0.9887 Mn
0.5113 0.5113 0.5113 Mn
```

Calculated values
* total energy: -30.71 eV/f.u.

## MnMo2Pb (PBE-GGA)

Data for a relaxed structure of MnMo2Pb.

The structure in POSCAR format:
```
MnMo2Pb
1.0
-1.0839 0.3239 2.7128
0.5465 -2.8795 0.2199
7.1714 1.5657 2.6783
Pb Mn Mo
1 1 2
Direct
0.5000 0.5000 0.2500 Pb
0.5000 0.5000 0.7500 Mn
0.0000 0.0000 0.9515 Mo
0.0000 0.0000 0.5485 Mo
```

Calculated values
* total energy: -32.42 eV/f.u.

## MnMoPb4 (PBE-GGA)

Data for a relaxed structure of MnMoPb4.

The structure in POSCAR format:
```
MnMoPb4
1.0
1.0031 -2.3359 5.7710
0.0835 3.8538 4.9908
-4.7058 -0.1705 4.1943
Mo Pb Mn
1 4 1
Direct
0.0000 0.0000 0.0000 Mo
0.3746 0.3746 0.8761 Pb
0.8761 0.3746 0.3746 Pb
0.3746 0.8761 0.3746 Pb
0.3746 0.3746 0.3746 Pb
0.7500 0.7500 0.7500 Mn
```

Calculated values
* total energy: -28.32 eV/f.u.

## Mn2MoPb (PBE-GGA)

Data for a relaxed structure of Mn2MoPb.

The structure in POSCAR format:
```
Mn2MoPb
1.0
4.6044 -0.0175 -0.1078
3.5732 2.9040 -0.1078
0.9477 0.3345 5.1192
Mn Mo Pb
2 1 1
Direct
0.0069 0.0069 0.9570 Mn
0.4931 0.4931 0.5430 Mn
0.7500 0.7500 0.7500 Mo
0.2500 0.2500 0.2500 Pb
```

Calculated values
* total energy: -30.68 eV/f.u.

## Mn3MoPb (PBE-GGA)

Data for a relaxed structure of Mn3MoPb.

The structure in POSCAR format:
```
Mn3MoPb
1.0
-2.7171 1.5970 -3.5118
1.7226 -3.3411 -2.8522
-3.4519 -2.9244 1.3409
Pb Mn Mo
1 3 1
Direct
0.5000 0.5000 0.5000 Pb
0.5000 0.0000 0.0000 Mn
0.0000 0.5000 0.0000 Mn
0.0000 0.0000 0.5000 Mn
0.0000 0.0000 0.0000 Mo
```

Calculated values
* energy relative to the lowest polymorph listed for this composition: 0.0 meV per atom

## MnMo2Pb (PBE-GGA)

Data for a relaxed structure of MnMo2Pb.

The structure in POSCAR format:
```
MnMo2Pb
1.0
-3.4385 -3.8710 0.5575
2.2100 -4.7120 0.1779
0.0810 4.6072 2.4260
Mn Mo Pb
1 2 1
Direct
0.7592 0.2592 0.5000 Mn
0.0054 0.0054 0.0000 Mo
0.2333 0.7333 0.5000 Mo
0.5021 0.5021 0.0000 Pb
```

Calculated values
* total energy: -32.59 eV/f.u.

## MnMo2Pb (PBE-GGA)

Data for a relaxed structure of MnMo2Pb.

The structure in POSCAR format:
```
MnMo2Pb
1.0
-0.6855 0.9820 2.6704
2.4251 -1.2350 1.0766
3.9738 6.5824 -1.4005
Mo Pb Mn
2 1 1
Direct
0.0000 0.0000 0.5480 Mo
0.0000 0.0000 0.9520 Mo
0.5000 0.5000 0.2500 Pb
0.5000 0.5000 0.7500 Mn
```

Calculated values
* total energy: -32.38 eV/f.u.